This record from Alexandria via LeMat-Bulk describes a geometry-optimized Te2MoP structure. The functional is GGA-PBEsol.

It has space group Pm (No. 6), with a = 4.522 Å, b = 4.423 Å, c = 4.533 Å, α = 90.00°, β = 108.85° and γ = 90.00°. The asymmetric unit holds Te at (0.000, 0.000, 0.000), Te at (0.376, 0.500, 0.635), Mo at (0.770, 0.500, 0.243) and P at (0.665, 0.000, 0.400).

The uncorrected formation energy comes out at 156 meV per atom. As for the total magnetization: 0.0 μB/f.u. For the final energy, the calculation gives -6.00 eV/atom.

---

This record from Alexandria via LeMat-Bulk describes a geometry-optimized KTaHg2 structure. The functional is GGA-PBEsol.

It has space group Pmmm (No. 47), with a = 2.889 Å, b = 4.170 Å, c = 7.864 Å, α = 90.00°, β = 90.00° and γ = 90.00°. The asymmetric unit holds K at (0.000, 0.000, 0.000), Ta at (0.000, 0.000, 0.500) and Hg at (0.500, 0.500, 0.308).

Its formation enthalpy at 0 K is 0.325 eV per atom. The offset from the most stable computed form comes out at 0 meV per atom. As for the total magnetization: 0.0 μB/f.u. For the final energy, the calculation gives -3.38 eV/atom.

---

This record from Alexandria via LeMat-Bulk describes a geometry-optimized KCdIr2 structure. The functional is GGA-PBEsol.

It has space group Immm (No. 71), with a = 2.827 Å, b = 4.912 Å, c = 10.278 Å, α = 90.00°, β = 90.00° and γ = 90.00°. The asymmetric unit holds K at (0.000, 0.000, 0.000), Cd at (0.000, 0.000, 0.500) and Ir at (0.000, 0.500, 0.228).

Its formation enthalpy at 0 K is 0.697 eV per atom. As for the total magnetization: 0.0 μB/f.u. For the final energy, the calculation gives -4.80 eV/atom.

---

This record from Alexandria via LeMat-Bulk describes a geometry-optimized InAgAs2 structure. The functional is GGA-PBEsol.

It has space group Imm2 (No. 44), with a = 3.622 Å, b = 4.073 Å, c = 11.285 Å, α = 90.00°, β = 90.00° and γ = 90.00°. The asymmetric unit holds In at (0.000, 0.000, 0.000), Ag at (0.000, 0.500, 0.189), As at (0.000, 0.000, 0.397) and As at (0.000, 0.500, 0.727).

Its formation enthalpy at 0 K is 0.141 eV per atom. As for the total magnetization: 0.0 μB/f.u. For the final energy, the calculation gives -3.99 eV/atom.

---

This record from Alexandria via LeMat-Bulk describes a geometry-optimized TeOsSeI2 structure. The functional is GGA-PBEsol.

It has space group P4/mmm (No. 123), with a = 5.310 Å, b = 5.310 Å, c = 5.030 Å, α = 90.00°, β = 90.00° and γ = 90.00°. The asymmetric unit holds Te at (0.000, 0.000, 0.000), Os at (0.000, 0.000, 0.500), Se at (0.500, 0.500, 0.000) and I at (0.000, 0.500, 0.500).

The uncorrected formation energy comes out at 783 meV per atom. As for the total magnetization: 0.0 μB/f.u. For the final energy, the calculation gives -3.84 eV/atom.

---

This record from Alexandria via LeMat-Bulk describes a geometry-optimized CrSbCl2 structure. The functional is GGA-PBEsol.

It has space group P4mm (No. 99), with a = 3.315 Å, b = 3.315 Å, c = 7.680 Å, α = 90.00°, β = 90.00° and γ = 90.00°. The asymmetric unit holds Cr at (0.000, 0.000, 0.000), Sb at (0.500, 0.500, 0.228), Cl at (0.000, 0.000, 0.470) and Cl at (0.500, 0.500, 0.835).

The uncorrected formation energy comes out at -156 meV per atom. The offset from the most stable computed form comes out at 190 meV per atom. As for the total magnetization: 4.3 μB/f.u. For the final energy, the calculation gives -4.86 eV/atom.

---

This record from Alexandria via LeMat-Bulk describes a geometry-optimized LiSbSeI2 structure. The functional is GGA-PBEsol.

It has space group P4/mmm (No. 123), with a = 4.977 Å, b = 4.977 Å, c = 5.397 Å, α = 90.00°, β = 90.00° and γ = 90.00°. The asymmetric unit holds Li at (0.000, 0.000, 0.000), Sb at (0.000, 0.000, 0.500), Se at (0.500, 0.500, 0.500) and I at (0.000, 0.500, 0.000).

The uncorrected formation energy comes out at 245 meV per atom. The offset from the most stable computed form comes out at 111 meV per atom. As for the total magnetization: 0.0 μB/f.u. For the final energy, the calculation gives -2.54 eV/atom.

---

This record from Alexandria via LeMat-Bulk describes a geometry-optimized TlNiW2 structure. The functional is GGA-PBEsol.

It has space group Cmmm (No. 65), with a = 4.010 Å, b = 4.018 Å, c = 7.798 Å, α = 90.00°, β = 90.00° and γ = 90.00°. The asymmetric unit holds Tl at (0.000, 0.000, 0.000), Ni at (0.000, 0.000, 0.500) and W at (0.000, 0.500, 0.292).

Its formation enthalpy at 0 K is 0.633 eV per atom. The offset from the most stable computed form comes out at 137 meV per atom. As for the total magnetization: 0.0 μB/f.u. For the final energy, the calculation gives -8.47 eV/atom.

---

This record from Alexandria via LeMat-Bulk describes a geometry-optimized CuPb2I structure. The functional is GGA-PBEsol.

It has space group Fm-3m (No. 225), with a = 7.533 Å, b = 7.533 Å, c = 7.533 Å, α = 90.00°, β = 90.00° and γ = 90.00°. The asymmetric unit holds Cu at (0.000, 0.000, 0.000), Pb at (0.250, 0.250, 0.250) and I at (0.000, 0.000, 0.500).

The uncorrected formation energy comes out at 410 meV per atom. As for the total magnetization: 0.0 μB/f.u. For the final energy, the calculation gives -3.11 eV/atom.

---

This record from Alexandria via LeMat-Bulk describes a geometry-optimized SiTe structure. The functional is GGA-PBEsol.

It has space group P6/mmm (No. 191), with a = 7.0921 Å, b = 7.0921 Å, c = 3.6627 Å, α = 90.00°, β = 90.00° and γ = 120.00°. The asymmetric unit holds Si at (0.0000, 0.0000, 0.0000), Si at (0.3333, 0.6667, 0.5000) and Te at (0.0000, 0.5000, 0.0000).

The uncorrected formation energy comes out at 630 meV per atom. As for the total magnetization: 0.0 μB/f.u. For the final energy, the calculation gives -4.01 eV/atom.

---

This record from Alexandria via LeMat-Bulk describes a geometry-optimized ReAg3 structure. The functional is GGA-PBEsol.

It has space group Imm2 (No. 44), with a = 2.637 Å, b = 9.495 Å, c = 5.083 Å, α = 90.00°, β = 90.00° and γ = 90.00°. The asymmetric unit holds Re at (0.000, 0.000, 0.000), Ag at (0.000, 0.253, 0.306) and Ag at (0.000, 0.500, 0.996).

Its formation enthalpy at 0 K is 0.579 eV per atom. The offset from the most stable computed form comes out at 238 meV per atom. As for the total magnetization: 0.0 μB/f.u. For the final energy, the calculation gives -5.24 eV/atom.

---

This record from Alexandria via LeMat-Bulk describes a geometry-optimized BeZnIn3 structure. The functional is GGA-PBEsol.

It has space group Pm-3m (No. 221), with a = 5.076 Å, b = 5.076 Å, c = 5.076 Å, α = 90.00°, β = 90.00° and γ = 90.00°. The asymmetric unit holds Be at (0.000, 0.000, 0.000), Zn at (0.500, 0.500, 0.500) and In at (0.000, 0.500, 0.500).

Its formation enthalpy at 0 K is 0.775 eV per atom. The offset from the most stable computed form comes out at 389 meV per atom. As for the total magnetization: 0.0 μB/f.u. For the final energy, the calculation gives -2.13 eV/atom.

---

This record from Alexandria via LeMat-Bulk describes a geometry-optimized TbFe2Si2 structure. The functional is GGA-PBEsol.

It has space group I4/mmm (No. 139), with a = 3.915 Å, b = 3.915 Å, c = 9.444 Å, α = 90.00°, β = 90.00° and γ = 90.00°. The asymmetric unit holds Tb at (0.000, 0.000, 0.000), Fe at (0.000, 0.500, 0.250) and Si at (0.000, 0.000, 0.366).

The uncorrected formation energy comes out at -745 meV per atom. As for the total magnetization: 0.0 μB/f.u. For the final energy, the calculation gives -7.63 eV/atom.